Material: Ca5PuN5
Method: DFT, PBE-GGA
State: optimized geometry Values from VASP.

The structure in Quantum ESPRESSO input format:
```
&SYSTEM
  ibrav = 0, nat = 11, ntyp = 3
/
ATOMIC_SPECIES
Ca 40.08 Ca.upf
Pu 244.00 Pu.upf
N 14.01 N.upf
ATOMIC_POSITIONS angstrom
Ca 0.0000 0.0000 0.0000
Ca 3.1523 0.0000 1.1655
Ca 2.2106 0.0000 4.2908
Ca 6.6726 0.0000 2.2835
Ca 5.7309 0.0000 5.4089
Pu -1.1122 0.0000 3.2872
N 0.7913 0.0000 2.2900
N -0.1088 0.0000 5.2722
N 4.4416 0.0000 3.2872
N 8.9920 0.0000 1.3021
N 8.0920 0.0000 4.2843
CELL_PARAMETERS angstrom
5.5539 -2.4598 0.0000
5.5539 2.4598 0.0000
-2.2245 0.0000 6.5744
```

Output
E_form (uncorrected) (eV/atom): -0.97
Size of the total moment (μB per cell): 3.00